The following is a DFT calculation (PBE) of a geometry-optimized AsS2ClO structure.

Output
Its crystal system is tetragonal. The value obtained for the magnetization is 2.88 μB/f.u. The value obtained for the energy above the most stable polymorph in this dataset is 2.42 eV per formula unit. The density of states at the Fermi level comes out at 1.252 states/eV per atom.

The structure in CIF format:
```
data_AsS2ClO
_chemical_formula_sum 'As1 S2 Cl1 O1'
_space_group_name_H-M_alt 'P 4/m m m'
_space_group_IT_number 123
_space_group_name_Hall '-P 4 2'
_cell_length_a 4.7618
_cell_length_b 4.7618
_cell_length_c 4.9589
_cell_angle_alpha 90.00
_cell_angle_beta 90.00
_cell_angle_gamma 90.00
loop_
_atom_site_label
_atom_site_type_symbol
_atom_site_fract_x
_atom_site_fract_y
_atom_site_fract_z
As1 As 0.0000 0.0000 0.0000
S1 S 0.0000 0.5000 0.0000
Cl1 Cl 0.0000 0.0000 0.5000
O1 O 0.5000 0.5000 0.5000
```


The following is a DFT calculation (PBE) of a geometry-optimized Li2TaAs structure.

Output
The value obtained for the formation energy is -2.9 kJ per mole of atoms. Its crystal system is monoclinic. The value obtained for the magnetization is 0.00 μB/f.u. The density of states at the Fermi level comes out at 0.543 states/eV per atom.

The structure in CIF format:
```
data_Li2TaAs
_chemical_formula_sum 'Li2 Ta1 As1'
_space_group_name_H-M_alt 'P 1 2/m 1'
_space_group_IT_number 10
_cell_length_a 2.8988
_cell_length_b 4.4755
_cell_length_c 5.0920
_cell_angle_alpha 90.00
_cell_angle_beta 104.70
_cell_angle_gamma 90.00
loop_
_space_group_symop_operation_xyz
'x,y,z'
'-x,-y,-z'
'-x,y,-z'
'x,-y,z'
loop_
_atom_site_label
_atom_site_type_symbol
_atom_site_fract_x
_atom_site_fract_y
_atom_site_fract_z
Li1 Li 0.1379 0.0000 0.2593
Ta1 Ta 0.5000 0.5000 0.0000
As1 As 0.0000 0.5000 0.5000
```